# CaAcMg2In4

Crystalline CaAcMg2In4 at its relaxed geometry (PBE, the Alexandria database).

Properties
Energy of formation, eV per atom: -0.299
Total moment, μB/cell: 0.0

Cell and atoms, written as CIF:
```
data_CaAcMg2In4
_symmetry_space_group_name_H-M 'P 1'
_symmetry_Int_Tables_number 1
_cell_length_a 9.668
_cell_length_b 9.668
_cell_length_c 9.668
_cell_angle_alpha 31.66
_cell_angle_beta 31.66
_cell_angle_gamma 31.66
loop_
_symmetry_equiv_pos_as_xyz
'x,y,z'
loop_
_atom_site_label
_atom_site_fract_x
_atom_site_fract_y
_atom_site_fract_z
Ca1 0.000 0.000 0.000
Ac1 0.500 0.500 0.500
Mg1 0.253 0.253 0.253
Mg2 0.747 0.747 0.747
In1 0.116 0.116 0.116
In2 0.373 0.373 0.373
In3 0.627 0.627 0.627
In4 0.884 0.884 0.884
```

***

# Ca2AcMgIn4

Crystalline Ca2AcMgIn4 at its relaxed geometry (PBE, the Alexandria database).

Properties
Energy of formation, eV per atom: -0.351
Total moment, μB/cell: 0.0

Cell and atoms, written as CIF:
```
data_Ca2AcMgIn4
_symmetry_space_group_name_H-M 'P 1'
_symmetry_Int_Tables_number 1
_cell_length_a 9.930
_cell_length_b 9.930
_cell_length_c 9.930
_cell_angle_alpha 31.41
_cell_angle_beta 31.41
_cell_angle_gamma 31.41
loop_
_symmetry_equiv_pos_as_xyz
'x,y,z'
loop_
_atom_site_label
_atom_site_fract_x
_atom_site_fract_y
_atom_site_fract_z
Ca1 0.242 0.242 0.242
Ca2 0.758 0.758 0.758
Ac1 0.000 0.000 0.000
Mg1 0.500 0.500 0.500
In1 0.127 0.127 0.127
In2 0.387 0.387 0.387
In3 0.613 0.613 0.613
In4 0.873 0.873 0.873
```

***

# CaAcMg2In2

Crystalline CaAcMg2In2 at its relaxed geometry (PBE, the Alexandria database).

Properties
Energy of formation, eV per atom: -0.354
Total moment, μB/cell: 0.0

Cell and atoms, written as CIF:
```
data_CaAcMg2In2
_symmetry_space_group_name_H-M 'P 1'
_symmetry_Int_Tables_number 1
_cell_length_a 5.085
_cell_length_b 5.085
_cell_length_c 7.821
_cell_angle_alpha 90.00
_cell_angle_beta 90.00
_cell_angle_gamma 120.00
loop_
_symmetry_equiv_pos_as_xyz
'x,y,z'
loop_
_atom_site_label
_atom_site_fract_x
_atom_site_fract_y
_atom_site_fract_z
Ca1 0.000 0.000 0.000
Ac1 0.000 0.000 0.500
Mg1 0.333 0.667 0.216
Mg2 0.667 0.333 0.784
In1 0.333 0.667 0.758
In2 0.667 0.333 0.242
```

***

# CaAcMgIn2

Crystalline CaAcMgIn2 at its relaxed geometry (PBE, the Alexandria database).

Properties
Energy of formation, eV per atom: -0.316
Total moment, μB/cell: 0.0

Cell and atoms, written as CIF:
```
data_CaAcMgIn2
_symmetry_space_group_name_H-M 'P 1'
_symmetry_Int_Tables_number 1
_cell_length_a 7.572
_cell_length_b 7.572
_cell_length_c 7.572
_cell_angle_alpha 142.77
_cell_angle_beta 142.77
_cell_angle_gamma 53.67
loop_
_symmetry_equiv_pos_as_xyz
'x,y,z'
loop_
_atom_site_label
_atom_site_fract_x
_atom_site_fract_y
_atom_site_fract_z
Ca1 0.000 0.000 0.000
Ac1 0.750 0.250 0.500
Mg1 0.500 0.500 0.000
In1 0.145 0.645 0.500
In2 0.355 0.855 0.500
```

***

# CaAcMgIn

Crystalline CaAcMgIn at its relaxed geometry (PBE, the Alexandria database).

Properties
Energy of formation, eV per atom: -0.307
Total moment, μB/cell: 0.0

Cell and atoms, written as CIF:
```
data_CaAcMgIn
_symmetry_space_group_name_H-M 'P 1'
_symmetry_Int_Tables_number 1
_cell_length_a 5.676
_cell_length_b 5.676
_cell_length_c 5.676
_cell_angle_alpha 60.00
_cell_angle_beta 60.00
_cell_angle_gamma 60.00
loop_
_symmetry_equiv_pos_as_xyz
'x,y,z'
loop_
_atom_site_label
_atom_site_fract_x
_atom_site_fract_y
_atom_site_fract_z
Ca1 0.000 0.000 0.000
Ac1 0.500 0.500 0.500
Mg1 0.250 0.250 0.250
In1 0.750 0.750 0.750
```

***

# CaAc2InN

Crystalline CaAc2InN at its relaxed geometry (PBE, the Alexandria database).

Properties
Final energy, eV per atom: -4.9791
Total moment, μB/cell: 0.0

Cell and atoms, written as CIF:
```
data_CaAc2InN
_symmetry_space_group_name_H-M 'P 1'
_symmetry_Int_Tables_number 1
_cell_length_a 5.365
_cell_length_b 5.365
_cell_length_c 5.002
_cell_angle_alpha 90.00
_cell_angle_beta 90.00
_cell_angle_gamma 90.00
loop_
_symmetry_equiv_pos_as_xyz
'x,y,z'
loop_
_atom_site_label
_atom_site_fract_x
_atom_site_fract_y
_atom_site_fract_z
Ca1 0.000 0.000 0.000
Ac1 0.000 0.500 0.500
Ac2 0.500 0.000 0.500
In1 0.500 0.500 0.000
N1 0.000 0.000 0.500
```

***

# Ca2AcInN

Crystalline Ca2AcInN at its relaxed geometry (PBE, the Alexandria database).

Properties
Final energy, eV per atom: -4.5297
Total moment, μB/cell: 0.0

Cell and atoms, written as CIF:
```
data_Ca2AcInN
_symmetry_space_group_name_H-M 'P 1'
_symmetry_Int_Tables_number 1
_cell_length_a 4.988
_cell_length_b 4.988
_cell_length_c 5.325
_cell_angle_alpha 90.00
_cell_angle_beta 90.00
_cell_angle_gamma 90.00
loop_
_symmetry_equiv_pos_as_xyz
'x,y,z'
loop_
_atom_site_label
_atom_site_fract_x
_atom_site_fract_y
_atom_site_fract_z
Ca1 0.000 0.500 0.000
Ca2 0.500 0.000 0.000
Ac1 0.000 0.000 0.500
In1 0.500 0.500 0.500
N1 0.000 0.000 0.000
```

***

# CaAc12In4N3

Crystalline CaAc12In4N3 at its relaxed geometry (PBE, the Alexandria database).

Properties
Final energy, eV per atom: -4.6858
Total moment, μB/cell: 0.0

Cell and atoms, written as CIF:
```
data_CaAc12In4N3
_symmetry_space_group_name_H-M 'P 1'
_symmetry_Int_Tables_number 1
_cell_length_a 9.454
_cell_length_b 9.454
_cell_length_c 9.454
_cell_angle_alpha 109.47
_cell_angle_beta 109.47
_cell_angle_gamma 109.47
loop_
_symmetry_equiv_pos_as_xyz
'x,y,z'
loop_
_atom_site_label
_atom_site_fract_x
_atom_site_fract_y
_atom_site_fract_z
Ca1 0.000 0.000 0.000
Ac1 0.000 0.272 0.272
Ac2 0.000 0.728 0.728
Ac3 0.250 0.500 0.750
Ac4 0.250 0.750 0.500
Ac5 0.272 0.000 0.272
Ac6 0.272 0.272 0.000
Ac7 0.500 0.250 0.750
Ac8 0.500 0.750 0.250
Ac9 0.728 0.000 0.728
Ac10 0.728 0.728 0.000
Ac11 0.750 0.250 0.500
Ac12 0.750 0.500 0.250
In1 0.000 0.000 0.500
In2 0.000 0.500 0.000
In3 0.500 0.000 0.000
In4 0.500 0.500 0.500
N1 0.000 0.500 0.500
N2 0.500 0.000 0.500
N3 0.500 0.500 0.000
```